No. 1
Computed, not measured: a relaxed structure of TlTc3C at the PBE-GGA level of DFT.

Lattice parameters (Å, degrees): 5.195 5.195 5.195 90.00 90.00 90.00
Element x y z (fractional)
Tl1 0.000 0.000 0.000
Tc1 0.000 0.000 0.500
Tc2 0.000 0.500 0.000
Tc3 0.500 0.000 0.000
C1 0.500 0.500 0.500

Summary:
- total magnetization (μB per atom) = 1.821
- N(E_F) (states/eV/atom) = 1.50
- symmetry = No. 221
- VASP energy (eV per atom) = -4.7536
- formation energy from the elements (meV per atom) = 3784


No. 2
Computed, not measured: a relaxed structure of Ca2BiO at the PBE-GGA level of DFT.

Lattice parameters (Å, degrees): 6.581 6.581 6.581 115.54 115.54 97.91
Element x y z (fractional)
Ca1 0.375 0.249 0.374
Ca2 0.751 0.125 0.126
Ca3 0.875 0.001 0.626
Ca4 0.999 0.625 0.874
Bi1 0.250 0.750 0.500
Bi2 0.500 0.500 0.000
O1 0.000 0.000 0.000
O2 0.750 0.250 0.500

Summary:
- total magnetization (μB per atom) = 0.230
- N(E_F) (states/eV/atom) = 0.80
- E_form (uncorrected) (kJ/mol of formula units) = -638
- symmetry = No. 122
- VASP energy (eV per atom) = -4.8640


No. 3
Computed, not measured: a relaxed structure of Sr2Y at the PBE-GGA level of DFT.

Lattice parameters (Å, degrees): 6.630 6.630 6.630 147.27 119.16 70.82
Element x y z (fractional)
Sr1 0.180 0.180 0.000
Sr2 0.820 0.820 0.000
Y1 0.500 0.000 0.500

Summary:
- total magnetization (μB per atom) = 0.000
- N(E_F) (states/eV/atom) = 1.54
- symmetry = No. 71
- VASP energy (eV per atom) = -2.9709
- formation energy from the elements (meV per atom) = 305


Question: Which of these has the lowest N(E_F)?
Answer: Ca2BiO